{"formula": "Nd3Si4", "functional": "PBE", "state": "relaxed", "e_tot_ha_per_atom": -0.2157, "space_group": "Immm", "raw_formation_energy_mev_per_atom": -728, "lattice_angstrom": [[3.9544, 0.0000, 0.0000], [0.0000, 4.4411, 0.0000], [0.0000, 0.0000, 17.9467]], "species": ["Nd", "Nd", "Nd", "Nd", "Nd", "Nd", "Si", "Si", "Si", "Si", "Si", "Si", "Si", "Si"], "frac_coords": [[0.0000, 0.0000, 0.0000], [0.0000, 0.5000, 0.3181], [0.0000, 0.5000, 0.6819], [0.5000, 0.0000, 0.1819], [0.5000, 0.0000, 0.8181], [0.5000, 0.5000, 0.5000], [0.0000, 0.0000, 0.4342], [0.0000, 0.0000, 0.5658], [0.0000, 0.5000, 0.1456], [0.0000, 0.5000, 0.8544], [0.5000, 0.0000, 0.3544], [0.5000, 0.0000, 0.6456], [0.5000, 0.5000, 0.0658], [0.5000, 0.5000, 0.9342]]}

{"formula": "Ac2PmInSe5", "functional": "PBE", "state": "relaxed", "e_tot_ha_per_atom": -0.1937, "space_group": "Cmc2_1", "raw_formation_energy_mev_per_atom": -1589, "lattice_angstrom": [[2.1468, -9.2344, 0.0000], [2.1468, 9.2344, 0.0000], [0.0000, 0.0000, 13.2109]], "species": ["Ac", "Ac", "Ac", "Ac", "Pm", "Pm", "In", "In", "Se", "Se", "Se", "Se", "Se", "Se", "Se", "Se", "Se", "Se"], "frac_coords": [[0.1226, 0.8774, 0.5000], [0.1290, 0.8710, 0.8800], [0.8710, 0.1290, 0.3800], [0.8774, 0.1226, 0.0000], [0.1922, 0.8078, 0.1952], [0.8078, 0.1922, 0.6952], [0.4364, 0.5636, 0.6748], [0.5636, 0.4364, 0.1748], [0.0285, 0.9715, 0.2900], [0.2929, 0.7071, 0.5262], [0.3006, 0.6994, 0.8544], [0.3521, 0.6479, 0.1959], [0.4931, 0.5069, 0.4864], [0.5069, 0.4931, 0.9864], [0.6479, 0.3521, 0.6959], [0.6994, 0.3006, 0.3544], [0.7071, 0.2929, 0.0262], [0.9715, 0.0285, 0.7900]]}

{"formula": "Ac2PaFe2N6", "functional": "PBE", "state": "relaxed", "e_tot_ha_per_atom": -0.3115, "space_group": "R-3m", "raw_formation_energy_mev_per_atom": -787, "lattice_angstrom": [[2.9115, 1.6810, 5.9168], [-2.9115, 1.6810, 5.9168], [0.0000, -3.3619, 5.9168]], "species": ["Ac", "Ac", "Pa", "Fe", "Fe", "N", "N", "N", "N", "N", "N"], "frac_coords": [[0.2146, 0.2146, 0.2146], [0.7854, 0.7854, 0.7854], [0.0000, 0.0000, 0.0000], [0.4091, 0.4091, 0.4091], [0.5909, 0.5909, 0.5909], [0.2357, 0.7492, 0.7492], [0.2508, 0.2508, 0.7643], [0.2508, 0.7643, 0.2508], [0.7492, 0.2357, 0.7492], [0.7492, 0.7492, 0.2357], [0.7643, 0.2508, 0.2508]]}

{"formula": "NdIn2Pt", "functional": "PBE", "state": "relaxed", "e_tot_ha_per_atom": -0.1694, "space_group": "P4/mmm", "ef_kcal_per_mol_atoms": -12.413, "lattice_angstrom": [[4.4028, 0.0000, 0.0000], [0.0000, 4.4028, 0.0000], [0.0000, 0.0000, 4.8431]], "species": ["Nd", "In", "In", "Pt"], "frac_coords": [[0.0000, 0.0000, 0.0000], [0.0000, 0.5000, 0.5000], [0.5000, 0.0000, 0.5000], [0.5000, 0.5000, 0.0000]]}

{"formula": "HfMgHg3", "functional": "PBE", "state": "relaxed", "e_tot_ha_per_atom": -0.0693, "space_group": "Pm-3m", "ef_kcal_per_mol_atoms": 13.961, "lattice_angstrom": [[5.5291, 0.0000, 0.0000], [0.0000, 5.5291, 0.0000], [0.0000, 0.0000, 5.5291]], "species": ["Hf", "Mg", "Hg", "Hg", "Hg"], "frac_coords": [[0.0000, 0.0000, 0.0000], [0.5000, 0.5000, 0.5000], [0.0000, 0.0000, 0.5000], [0.0000, 0.5000, 0.0000], [0.5000, 0.0000, 0.0000]]}

{"formula": "K3Cd2RuO6", "functional": "PBE", "state": "relaxed", "e_tot_ha_per_atom": -0.1787, "space_group": "C2/m", "raw_formation_energy_mev_per_atom": -1184, "lattice_angstrom": [[2.9378, -5.0838, 0.0000], [2.9378, 5.0838, 0.0000], [-1.9652, 0.0000, 6.0403]], "species": ["K", "K", "K", "Cd", "Cd", "Ru", "O", "O", "O", "O", "O", "O"], "frac_coords": [[0.0000, 0.0000, 0.0000], [0.3284, 0.6716, 0.0000], [0.6716, 0.3284, 0.0000], [0.1662, 0.8338, 0.5000], [0.8338, 0.1662, 0.5000], [0.5000, 0.5000, 0.5000], [0.1505, 0.4376, 0.3150], [0.2771, 0.2771, 0.6868], [0.4376, 0.1505, 0.3150], [0.5624, 0.8495, 0.6850], [0.7229, 0.7229, 0.3132], [0.8495, 0.5624, 0.6850]]}

{"formula": "KPdPb2", "functional": "PBE", "state": "relaxed", "e_tot_ha_per_atom": -0.1241, "space_group": "I-42d", "ef_kcal_per_mol_atoms": 1.158, "lattice_angstrom": [[5.6076, 0.0000, 0.0000], [0.0000, 5.6076, 0.0000], [0.0000, 0.0000, 18.6715]], "species": ["K", "K", "K", "K", "Pd", "Pd", "Pd", "Pd", "Pb", "Pb", "Pb", "Pb", "Pb", "Pb", "Pb", "Pb"], "frac_coords": [[0.0000, 0.0000, 0.0000], [0.0000, 0.5000, 0.2500], [0.5000, 0.0000, 0.7500], [0.5000, 0.5000, 0.5000], [0.0000, 0.0000, 0.5000], [0.0000, 0.5000, 0.7500], [0.5000, 0.0000, 0.2500], [0.5000, 0.5000, 0.0000], [0.1038, 0.2500, 0.6250], [0.2500, 0.6038, 0.8750], [0.2500, 0.8962, 0.3750], [0.3962, 0.2500, 0.1250], [0.6038, 0.7500, 0.1250], [0.7500, 0.1038, 0.3750], [0.7500, 0.3962, 0.8750], [0.8962, 0.7500, 0.6250]]}

{"formula": "Hf3TiNi", "functional": "PBE", "state": "relaxed", "e_tot_ha_per_atom": -0.3057, "space_group": "Pm-3m", "ef_kcal_per_mol_atoms": 8.971, "lattice_angstrom": [[4.7891, 0.0000, 0.0000], [0.0000, 4.7891, 0.0000], [0.0000, 0.0000, 4.7891]], "species": ["Hf", "Hf", "Hf", "Ti", "Ni"], "frac_coords": [[0.0000, 0.0000, 0.5000], [0.0000, 0.5000, 0.0000], [0.5000, 0.0000, 0.0000], [0.5000, 0.5000, 0.5000], [0.0000, 0.0000, 0.0000]]}

{"formula": "HfAgTe2", "functional": "PBE", "state": "relaxed", "e_tot_ha_per_atom": -0.1818, "space_group": "I-42d", "raw_formation_energy_mev_per_atom": -175, "lattice_angstrom": [[6.6265, 0.0000, 0.0000], [0.0000, 6.6265, 0.0000], [0.0000, 0.0000, 12.3504]], "species": ["Hf", "Hf", "Hf", "Hf", "Ag", "Ag", "Ag", "Ag", "Te", "Te", "Te", "Te", "Te", "Te", "Te", "Te"], "frac_coords": [[0.0000, 0.0000, 0.0000], [0.0000, 0.5000, 0.2500], [0.5000, 0.0000, 0.7500], [0.5000, 0.5000, 0.5000], [0.0000, 0.0000, 0.5000], [0.0000, 0.5000, 0.7500], [0.5000, 0.0000, 0.2500], [0.5000, 0.5000, 0.0000], [0.2464, 0.2500, 0.1250], [0.2500, 0.7464, 0.3750], [0.2500, 0.7536, 0.8750], [0.2536, 0.2500, 0.6250], [0.7464, 0.7500, 0.6250], [0.7500, 0.2464, 0.8750], [0.7500, 0.2536, 0.3750], [0.7536, 0.7500, 0.1250]]}

{"formula": "Mn2NbSbPb", "functional": "PBE", "state": "relaxed", "e_tot_ha_per_atom": -0.1977, "space_group": "P4/mmm", "raw_formation_energy_mev_per_atom": 1868, "lattice_angstrom": [[4.7048, 0.0000, 0.0000], [0.0000, 4.7048, 0.0000], [0.0000, 0.0000, 5.6516]], "species": ["Mn", "Mn", "Nb", "Sb", "Pb"], "frac_coords": [[0.0000, 0.5000, 0.0000], [0.5000, 0.0000, 0.0000], [0.0000, 0.0000, 0.5000], [0.5000, 0.5000, 0.0000], [0.5000, 0.5000, 0.5000]]}

{"formula": "Ba3CaNd2Te6", "functional": "PBE", "state": "relaxed", "e_tot_ha_per_atom": -0.1701, "space_group": "C2/m", "raw_formation_energy_mev_per_atom": -1617, "lattice_angstrom": [[4.0692, -7.0449, 0.0000], [4.0692, 7.0449, 0.0000], [-2.7140, 0.0000, 7.8468]], "species": ["Ba", "Ba", "Ba", "Ca", "Nd", "Nd", "Te", "Te", "Te", "Te", "Te", "Te"], "frac_coords": [[0.0000, 0.0000, 0.0000], [0.3329, 0.6671, 0.0000], [0.6671, 0.3329, 0.0000], [0.5000, 0.5000, 0.5000], [0.1661, 0.8339, 0.5000], [0.8339, 0.1661, 0.5000], [0.0936, 0.4259, 0.2774], [0.2423, 0.2423, 0.7231], [0.4259, 0.0936, 0.2774], [0.5741, 0.9064, 0.7226], [0.7577, 0.7577, 0.2769], [0.9064, 0.5741, 0.7226]]}

{"formula": "PmMg2SnAu4", "functional": "PBE", "state": "relaxed", "e_tot_ha_per_atom": -0.1355, "space_group": "R-3m", "ef_kcal_per_mol_atoms": -12.802, "lattice_angstrom": [[2.3123, 1.3350, 9.2610], [-2.3123, 1.3350, 9.2610], [0.0000, -2.6700, 9.2610]], "species": ["Pm", "Mg", "Mg", "Sn", "Au", "Au", "Au", "Au"], "frac_coords": [[0.0000, 0.0000, 0.0000], [0.2448, 0.2448, 0.2448], [0.7552, 0.7552, 0.7552], [0.5000, 0.5000, 0.5000], [0.1180, 0.1180, 0.1180], [0.3900, 0.3900, 0.3900], [0.6100, 0.6100, 0.6100], [0.8820, 0.8820, 0.8820]]}